RbLaNb2O7: relaxed, PBE.

The size of the total moment is 0.00 μB per formula unit. Its symmetry is Imma, No. 74. The total energy comes out at -8.280 eV/atom. The crystal system is orthorhombic.

Geometry as POSCAR:
```
RbLaNb2O7
1.0
0.000 0.000 -5.538
-5.494 0.000 0.000
2.747 10.930 2.769
La Nb O Rb
2 4 14 2
Direct
0.238 0.250 0.500
0.762 0.750 0.500
0.639 0.145 0.290
0.150 0.645 0.290
0.850 0.355 0.710
0.361 0.855 0.710
0.507 0.064 0.128
0.121 0.564 0.128
0.902 0.402 0.304
0.902 0.902 0.304
0.426 0.426 0.351
0.426 0.926 0.351
0.820 0.250 0.500
0.180 0.750 0.500
0.574 0.074 0.649
0.574 0.574 0.649
0.098 0.098 0.696
0.098 0.598 0.696
0.879 0.436 0.872
0.493 0.936 0.872
0.000 0.000 0.000
0.500 0.500 0.000
```